Record 1
PBE MgSc2Ga2Ni5, optimized geometry; total moment = 0.00 Bohr magnetons per cell; space-group type = P4/mbm (127); formation energy = -3.70 eV per formula unit
1.0
3.572 0.000 0.000
0.000 9.089 0.000
0.000 0.000 9.089
Mg Sc Ga Ni
2 4 4 10
Direct
0.000 0.000 0.000 Mg
0.000 0.500 0.500 Mg
0.000 0.675 0.175 Sc
0.000 0.325 0.825 Sc
0.000 0.175 0.325 Sc
0.000 0.825 0.675 Sc
0.000 0.122 0.622 Ga
0.000 0.878 0.378 Ga
0.000 0.622 0.878 Ga
0.000 0.378 0.122 Ga
0.500 0.211 0.065 Ni
0.500 0.789 0.935 Ni
0.500 0.065 0.789 Ni
0.500 0.711 0.435 Ni
0.500 0.935 0.211 Ni
0.500 0.289 0.565 Ni
0.500 0.565 0.711 Ni
0.500 0.435 0.289 Ni
0.500 0.500 0.000 Ni
0.500 0.000 0.500 Ni

=====

Record 2
PBE BaInHgSb, optimized geometry; ΔE_f (raw) = -430 meV per atom; total moment = 0.00 Bohr magnetons per cell; space-group type = F-43m (216)
1.0
5.755 0.000 0.000
2.877 4.984 0.000
2.877 1.661 4.699
Sb In Hg Ba
1 1 1 1
Direct
0.750 0.750 0.750 Sb
0.000 0.000 0.000 In
0.250 0.250 0.250 Hg
0.500 0.500 0.500 Ba

=====

Record 3
PBE Sm3AlGe3, optimized geometry; total moment = 0.00 Bohr magnetons per cell; space-group type = C2/m (12); formation energy = -5.28 eV per formula unit
1.0
-3.430 1.582 2.120
-4.123 -4.212 0.897
3.619 -3.324 12.761
Sm Al Ge
6 2 6
Direct
0.517 0.344 0.622 Sm
0.483 0.656 0.378 Sm
0.263 0.249 0.226 Sm
0.737 0.751 0.774 Sm
0.395 0.288 0.922 Sm
0.605 0.712 0.078 Sm
0.767 0.081 0.385 Al
0.233 0.919 0.615 Al
0.860 0.736 0.545 Ge
0.140 0.264 0.455 Ge
0.116 0.844 0.924 Ge
0.884 0.156 0.076 Ge
0.981 0.811 0.227 Ge
0.019 0.189 0.773 Ge

=====

Record 4
PBE PmGaHg, optimized geometry; total moment = 0.00 Bohr magnetons per cell; space-group type = F-43m (216); formation energy = -1.32 eV per formula unit; polymorph energy (0 for the lowest one) = 92 meV per atom
1.0
-0.171 -3.019 -3.702
2.727 -3.926 -0.010
-2.009 -4.306 0.518
Hg Ga Pm
1 1 1
Direct
0.500 0.500 0.500 Hg
0.250 0.250 0.250 Ga
0.000 0.000 0.000 Pm

=====

Record 5
PBE In3CoH, optimized geometry; total moment = 1.37 Bohr magnetons per cell; space-group type = Pm-3m (221); polymorph energy (0 for the lowest one) = 194 meV per atom
1.0
-0.825 -3.705 2.372
2.562 1.557 3.323
-3.576 1.970 1.833
H Co In
1 1 3
Direct
0.000 0.000 0.000 H
0.500 0.500 0.500 Co
0.000 0.500 0.000 In
0.000 0.000 0.500 In
0.500 0.000 0.000 In

=====

Record 6
PBE PmY2Te3, optimized geometry; ΔE_f (raw) = -1343 meV per atom; total moment = 0.00 Bohr magnetons per cell; space-group type = Immm (71)
1.0
4.418 0.000 0.000
0.000 6.200 0.000
-2.209 -3.100 6.599
Pm Y Te
1 2 3
Direct
0.500 0.500 0.500 Pm
0.840 0.840 0.181 Y
0.160 0.160 0.819 Y
0.826 0.326 0.153 Te
0.174 0.674 0.847 Te
0.500 0.000 0.500 Te

=====

Record 7
PBE NbPt3Se, optimized geometry; ΔE_f (raw) = 1123 meV per atom; total moment = 0.00 Bohr magnetons per cell; space-group type = Pm-3m (221); polymorph energy (0 for the lowest one) = 415 meV per atom
1.0
4.894 0.000 0.000
0.000 4.894 0.000
0.000 0.000 4.894
Nb Se Pt
1 1 3
Direct
0.000 0.000 0.000 Nb
0.500 0.500 0.500 Se
0.000 0.500 0.000 Pt
0.000 0.000 0.500 Pt
0.500 0.000 0.000 Pt

=====

Record 8
PBE RbU2CdO8, optimized geometry; ΔE_f (raw) = -2206 meV per atom; total moment = 0.99 Bohr magnetons per cell; space-group type = I-4 (82)
1.0
-3.447 -3.321 3.222
-1.736 -2.795 -4.739
6.506 -0.411 1.371
Rb U Cd O
1 2 1 8
Direct
0.750 0.250 0.500 Rb
0.500 0.500 0.000 U
0.250 0.750 0.500 U
0.000 0.000 0.000 Cd
0.830 0.797 0.237 O
0.407 0.440 0.237 O
0.602 0.702 0.748 O
0.146 0.046 0.748 O
0.954 0.398 0.252 O
0.298 0.854 0.252 O
0.203 0.593 0.763 O
0.560 0.170 0.763 O

=====

Record 9
PBE Tl3Br3F, optimized geometry; ΔE_f (raw) = -969 meV per atom; total moment = 0.00 Bohr magnetons per cell; space-group type = C2/m (12)
1.0
8.254 -0.431 -0.254
-3.220 7.613 -0.254
0.203 0.290 7.982
Tl Br F
6 6 2
Direct
0.096 0.096 0.791 Tl
0.450 0.130 0.257 Tl
0.130 0.450 0.257 Tl
0.550 0.870 0.743 Tl
0.870 0.550 0.743 Tl
0.904 0.904 0.209 Tl
0.387 0.387 0.609 Br
0.158 0.842 0.500 Br
0.842 0.158 0.500 Br
0.199 0.801 0.000 Br
0.801 0.199 0.000 Br
0.613 0.613 0.391 Br
0.172 0.172 0.146 F
0.828 0.828 0.854 F

=====

Record 10
PBE Tm4CdCo2, optimized geometry; total moment = 0.00 Bohr magnetons per cell; space-group type = P1 (1); formation energy = -1.02 eV per formula unit
1.0
-1.511 -2.548 -8.189
-0.037 -7.168 5.242
-3.757 5.646 0.852
Tm Cd Co
8 2 4
Direct
0.884 0.137 0.255 Tm
0.410 0.799 0.431 Tm
0.904 0.611 0.839 Tm
0.908 0.246 0.832 Tm
0.453 0.040 0.164 Tm
0.244 0.152 0.670 Tm
0.447 0.528 0.671 Tm
0.732 0.643 0.294 Tm
0.081 0.621 0.505 Cd
0.106 0.056 0.982 Cd
0.586 0.276 0.724 Co
0.625 0.867 0.245 Co
0.670 0.240 0.040 Co
0.199 0.534 0.846 Co

=====

Record 11
PBE Cs3H9Ir2, optimized geometry; electronic total energy = -0.144 hartree per atom; total moment = 0.21 Bohr magnetons per cell; space-group type = P6_3/mmc (194)
1.0
-2.308 -3.995 -4.358
1.325 -2.097 5.842
-14.517 3.447 4.529
Cs H Ir
6 18 4
Direct
0.000 0.000 0.750 Cs
0.000 0.000 0.250 Cs
0.667 0.333 0.913 Cs
0.333 0.667 0.087 Cs
0.333 0.667 0.413 Cs
0.667 0.333 0.587 Cs
0.458 0.916 0.750 H
0.084 0.542 0.750 H
0.458 0.542 0.750 H
0.542 0.084 0.250 H
0.916 0.458 0.250 H
0.542 0.458 0.250 H
0.221 0.443 0.900 H
0.557 0.779 0.900 H
0.221 0.779 0.900 H
0.779 0.557 0.100 H
0.443 0.221 0.100 H
0.779 0.221 0.100 H
0.779 0.557 0.400 H
0.443 0.221 0.400 H
0.779 0.221 0.400 H
0.221 0.443 0.600 H
0.557 0.779 0.600 H
0.221 0.779 0.600 H
0.667 0.333 0.169 Ir
0.333 0.667 0.831 Ir
0.333 0.667 0.669 Ir
0.667 0.333 0.331 Ir

=====

Record 12
PBE FeCuPd, optimized geometry; total moment = 6.34 Bohr magnetons per cell; space-group type = C2/m (12); formation energy = -0.05 eV per formula unit; polymorph energy (0 for the lowest one) = 0 meV per atom
1.0
-1.605 -3.004 1.628
4.538 -0.540 -0.899
-0.474 2.694 4.505
Fe Cu Pd
2 2 2
Direct
0.999 0.997 0.741 Fe
0.001 0.003 0.259 Fe
0.339 0.679 0.418 Cu
0.661 0.321 0.582 Cu
0.332 0.664 0.903 Pd
0.668 0.336 0.097 Pd